[1]
Compound: CaMn2Co
Source: Alexandria
Functional: GGA-PBE
Structure: optimized geometry

The energy above the most stable polymorph in this dataset comes out at 249.6 meV/atom. Its crystal system is orthorhombic. The formation energy comes out at 501.7 meV per atom.

Lattice parameters (Å, degrees): 3.1939 4.1934 11.0881 90.00 90.00 90.00
Last column: nearest neighbours and their distance in Å.
Space group Imm2 (No. 44)
Inequivalent atoms, fractional coordinates:
Ca: 0.0000 0.0000 0.0000 x2  2 Co 2.94, 6 Mn 2.97-3.26, 2 Ca 3.19
Mn: 0.0000 0.0000 0.3765 x2  2 Co 2.34
Mn: 0.0000 0.5000 0.2251 x2  4 Co 2.64, 2 Mn 2.69
Co: 0.0000 0.5000 0.7223 x2  2 Mn 2.34

=====

[2]
Compound: CaMn2Co
Source: Alexandria
Functional: GGA-PBE
Structure: optimized geometry

The energy above the most stable polymorph in this dataset comes out at 393.1 meV/atom. Its crystal system is monoclinic. The formation energy comes out at 645.3 meV per atom.

Lattice parameters (Å, degrees): 5.5355 9.3962 2.8120 90.00 116.57 90.00
Last column: nearest neighbours and their distance in Å.
Space group C2/m (No. 12)
Inequivalent atoms, fractional coordinates:
Ca: 0.0000 0.0000 0.0000 x2  4 Co 2.77-2.93, 4 Mn 2.77, 2 Ca 2.81
Mn: 0.2500 0.2500 0.5000 x4  6 Mn 2.77-2.93, 2 Co 2.77, 2 Ca 2.77
Co: 0.0000 0.5000 0.0000 x2  4 Ca 2.77-2.93, 4 Mn 2.77, 2 Co 2.81

=====

Result set for E: -50.9, -49.7 eV per cell, one per record in the order listed.